1.
Density functional theory data (GGA-PBE) for a relaxed structure of Os3Se5.

Cell: 5.235 7.893 14.543 Å, 90.00 90.00 90.00°
Space group Ama2 (No. 40)
Inequivalent atoms, fractional coordinates:
1 Os 0.250 0.087 0.000
2 Os 0.250 0.204 0.284
3 Os 0.250 0.207 0.703
4 Se 0.000 0.000 0.138
5 Se 0.000 0.000 0.796
6 Se 0.250 0.277 0.458
7 Se 0.250 0.345 0.115
8 Se 0.250 0.389 0.836

Calculated values
- total energy (eV/atom) = -5.77
- uncorrected formation energy (eV/f.u.) = 4.92

=====

2.
Density functional theory data (GGA-PBE) for a relaxed structure of CrMoPb2.

Cell: 4.256 3.628 10.563 Å, 90.00 90.00 90.00°
Space group Amm2 (No. 38)
Inequivalent atoms, fractional coordinates:
1 Cr 0.000 0.000 0.000
2 Mo 0.500 0.000 0.120
3 Pb 0.000 0.000 0.717
4 Pb 0.500 0.000 0.403

Calculated values
- total energy (eV/atom) = -6.32
- relative energy among the computed polymorphs (meV/atom) = 271
- formation energy from the elements (eV per atom) = 0.652

=====

3.
Density functional theory data (GGA-PBE) for a relaxed structure of CsK4Au3.

Cell: 5.897 4.042 14.719 Å, 90.00 101.48 90.00°
Space group P2/m (No. 10)
Inequivalent atoms, fractional coordinates:
1 Cs 0.000 0.000 0.000
2 K 0.206 0.000 0.411
3 K 0.397 0.000 0.794
4 Au 0.303 0.500 0.605
5 Au 0.500 0.500 0.000

Calculated values
- total energy (eV/atom) = -2.10
- formation energy from the elements (eV per atom) = -0.216

=====

4.
Density functional theory data (GGA-PBE) for a relaxed structure of PaAlRu2.

Cell: 6.531 6.531 6.531 Å, 90.00 90.00 90.00°
Space group Fm-3m (No. 225)
Inequivalent atoms, fractional coordinates:
1 Pa 0.000 0.000 0.000
2 Al 0.000 0.000 0.500
3 Ru 0.250 0.250 0.250

Calculated values
- total energy (eV/atom) = -8.52
- formation energy from the elements (eV per atom) = -0.570